Computed, not measured: crystalline Tl2CrF4 at its relaxed geometry at the PBE+U level of DFT.

```
Tl2CrF4
1.0
5.9727 0.0000 -0.2757
0.0000 6.7321 0.0000
-2.4978 0.0000 7.3555
Tl Cr F
4 2 8
direct
0.8858 0.7500 0.3013
0.1142 0.2500 0.6987
0.3906 0.2500 0.3023
0.6094 0.7500 0.6977
0.2473 0.7500 0.0002
0.7527 0.2500 0.9998
0.2494 0.4550 0.0005
0.1919 0.7500 0.7301
0.8081 0.2500 0.2699
0.2494 0.0450 0.0005
0.6975 0.2500 0.7298
0.7506 0.9550 0.9995
0.7506 0.5450 0.9995
0.3025 0.7500 0.2702
```

Results
- polymorph energy (0 for the lowest one) (eV per atom) = 0.013
- space-group type = P2_1/m